1.
# PBE-GGA Co2P2H, optimized geometry
# - polymorph energy (0 for the lowest one) (kJ/mol of formula units) = 0.0
# - calculated total energy (eV/atom) = -5.921
# - crystal system = monoclinic
data_Co2P2H
_cell_length_a 4.1565
_cell_length_b 4.1565
_cell_length_c 4.3754
_cell_angle_alpha 90.27
_cell_angle_beta 90.27
_cell_angle_gamma 43.32
_space_group_name_H-M_alt 'P 1'
_space_group_IT_number 1
loop_
_space_group_symop_operation_xyz
'x,y,z'
loop_
_atom_site_label
_atom_site_type_symbol
_atom_site_fract_x
_atom_site_fract_y
_atom_site_fract_z
Co1 Co 0.0000 0.0000 0.0000
Co2 Co 0.1933 0.1933 0.4981
P1 P 0.2949 0.2949 0.0006
P2 P 0.9070 0.9070 0.5053
H1 H 0.6281 0.6281 0.4422


2.
# PBE-GGA CoP3H, optimized geometry
# - polymorph energy (0 for the lowest one) (kJ/mol of formula units) = 424.8
# - calculated total energy (eV/atom) = -4.564
# - crystal system = cubic
data_CoP3H
_cell_length_a 3.8139
_cell_length_b 3.8139
_cell_length_c 3.8139
_cell_angle_alpha 90.00
_cell_angle_beta 90.00
_cell_angle_gamma 90.00
_space_group_name_H-M_alt 'P 1'
_space_group_IT_number 1
loop_
_space_group_symop_operation_xyz
'x,y,z'
loop_
_atom_site_label
_atom_site_type_symbol
_atom_site_fract_x
_atom_site_fract_y
_atom_site_fract_z
Co1 Co 0.0000 0.0000 0.0000
P1 P 0.0000 0.5000 0.5000
P2 P 0.5000 0.0000 0.5000
P3 P 0.5000 0.5000 0.0000
H1 H 0.5000 0.5000 0.5000


3.
# PBE-GGA Co2PH, optimized geometry
# - polymorph energy (0 for the lowest one) (kJ/mol of formula units) = 0.0
# - calculated total energy (eV/atom) = -5.813
# - crystal system = cubic
data_Co2PH
_cell_length_a 3.6875
_cell_length_b 3.6875
_cell_length_c 3.6875
_cell_angle_alpha 60.00
_cell_angle_beta 60.00
_cell_angle_gamma 60.00
_space_group_name_H-M_alt 'P 1'
_space_group_IT_number 1
loop_
_space_group_symop_operation_xyz
'x,y,z'
loop_
_atom_site_label
_atom_site_type_symbol
_atom_site_fract_x
_atom_site_fract_y
_atom_site_fract_z
Co1 Co 0.2500 0.2500 0.2500
Co2 Co 0.7500 0.7500 0.7500
P1 P 0.0000 0.0000 0.0000
H1 H 0.5000 0.5000 0.5000


Please write out number 1 again, unchanged.
# PBE-GGA Co2P2H, optimized geometry
# - polymorph energy (0 for the lowest one) (kJ/mol of formula units) = 0.0
# - calculated total energy (eV/atom) = -5.921
# - crystal system = monoclinic
data_Co2P2H
_cell_length_a 4.1565
_cell_length_b 4.1565
_cell_length_c 4.3754
_cell_angle_alpha 90.27
_cell_angle_beta 90.27
_cell_angle_gamma 43.32
_space_group_name_H-M_alt 'P 1'
_space_group_IT_number 1
loop_
_space_group_symop_operation_xyz
'x,y,z'
loop_
_atom_site_label
_atom_site_type_symbol
_atom_site_fract_x
_atom_site_fract_y
_atom_site_fract_z
Co1 Co 0.0000 0.0000 0.0000
Co2 Co 0.1933 0.1933 0.4981
P1 P 0.2949 0.2949 0.0006
P2 P 0.9070 0.9070 0.5053
H1 H 0.6281 0.6281 0.4422


Q: What is the calculated total energy in the second record?
A: -4.564 eV/atom


Q: Look up the calculated total energy of the third one.
A: -5.813 eV/atom


Q: calculated total energy of number 3 (Co2PH)?
A: -5.813 eV/atom